A plane-wave DFT calculation with GGA+U was carried out for crystalline Na2DyMoO6 at its relaxed geometry.

As for the density of states at the Fermi level: 13.24 states/eV per cell. The calculated total energy comes out at -6.420 eV/atom.

```
data_Na2DyMoO6
_symmetry_space_group_name_H-M 'P 1 21/c 1'
_symmetry_Int_Tables_number 14
_symmetry_space_group_name_Hall '-P 2ybc'
_cell_length_a 5.6907
_cell_length_b 5.8306
_cell_length_c 9.9220
_cell_angle_alpha 90.00
_cell_angle_beta 124.90
_cell_angle_gamma 90.00
loop_
_atom_site_label
_atom_site_fract_x
_atom_site_fract_y
_atom_site_fract_z
Na1 0.2441 0.0329 0.2525
Dy1 0.5000 0.0000 0.0000
Mo1 0.0000 0.0000 0.5000
O1 0.1385 0.2287 0.9517
O2 0.2315 0.6905 0.9589
O3 0.3160 0.0266 0.7300
```